[1]
Density functional theory data (PBE) for a geometry-optimized Ac2Nd5Ho4 structure.

Structure (POSCAR):
```
Ac2Nd5Ho4
1.0
6.3512 0.0000 0.0000
-2.0933 7.9569 0.0000
-1.0226 -2.8192 7.6710
Ac Nd Ho
2 5 4
Cartesian
0.5460 -0.2769 1.7689
2.6893 5.4146 5.9021
0.5229 3.1667 0.3480
1.6094 -0.8221 5.2506
1.6176 2.5689 3.8355
1.6258 5.9599 2.4204
2.7124 1.9710 7.3230
-1.5239 4.2087 3.1416
-0.4642 3.6784 6.6065
3.6994 1.4594 1.0645
4.7592 0.9291 4.5294
```

Output
E_form, kJ/mol of atoms: 4
Crystal system: triclinic


[2]
Density functional theory data (PBE) for a geometry-optimized CoPt5 structure.

Structure (POSCAR):
```
CoPt5
1.0
4.6039 0.0000 0.0000
0.0000 1.3762 7.1745
0.0000 -1.3762 7.1745
Co Pt
1 5
Cartesian
0.0000 0.0000 0.0000
0.0000 0.0000 4.8796
0.0000 0.0000 9.4676
2.3020 0.0000 1.5547
2.3020 0.0000 6.3905
2.3020 0.0000 11.1361
```

Output
E_form, kJ/mol of atoms: 0
Crystal system: orthorhombic


[3]
Density functional theory data (PBE) for a geometry-optimized La2HoCd2 structure.

Structure (POSCAR):
```
La2HoCd2
1.0
-4.0983 6.2769 3.0825
4.0983 -6.2769 3.0825
4.0983 6.2769 -3.0825
La Ho Cd
4 2 4
Cartesian
1.2877 2.5957 0.0000
5.3860 3.6812 0.0000
-1.2877 2.5957 3.0825
2.8106 3.6812 3.0825
4.0983 0.0000 1.5413
0.0000 6.2769 1.5413
6.8158 0.7108 0.0000
2.7175 5.5661 0.0000
1.3808 0.7108 3.0825
-2.7175 5.5661 3.0825
```

Output
E_form, kJ/mol of atoms: -5
Crystal system: orthorhombic
Distance to the lowest polymorph of the same formula, eV/atom: 0.184


[4]
Density functional theory data (PBE) for a geometry-optimized Tb4HPb2 structure.

Structure (POSCAR):
```
Tb4HPb2
1.0
-2.3002 2.3002 8.5220
2.3002 -2.3002 8.5220
2.3002 2.3002 -8.5220
Tb H Pb
4 1 2
Cartesian
2.3002 0.0000 0.0000
0.0000 0.0000 3.0001
0.0000 2.3002 0.0000
0.0000 0.0000 14.0438
0.0000 0.0000 0.0000
0.0000 0.0000 6.1550
0.0000 0.0000 10.8889
```

Output
Crystal system: tetragonal
Distance to the lowest polymorph of the same formula, eV/atom: 0.012


D(E_F) (states/eV/f.u.)
15.78; 7.71; 7.49; 6.91